First-principles (PBE-GGA) data for a relaxed ZrTeSeN2 crystal, as listed in Alexandria via LeMat-Bulk.

Cell: 4.1891 4.1891 5.7042 Å, 90.00 90.00 90.00°
Positions (direct):
Te (0.5000, 0.5000, 0.5000)
Se (0.0000, 0.0000, 0.5000)
Zr (0.0000, 0.0000, 0.0000)
N (0.0000, 0.5000, 0.0000)
N (0.5000, 0.0000, 0.0000)

* offset from the most stable computed form: 0 meV/atom


First-principles (PBE-GGA) data for a relaxed ThSeN crystal, as listed in Alexandria via LeMat-Bulk.

Cell: 4.5687 4.5687 4.5687 Å, 60.00 60.00 60.00°
Positions (direct):
Se (0.0000, 0.0000, 0.0000)
Th (0.2500, 0.2500, 0.2500)
N (0.5000, 0.5000, 0.5000)

* offset from the most stable computed form: 990 meV/atom


First-principles (PBE-GGA) data for a relaxed Th2SeN2 crystal, as listed in Alexandria via LeMat-Bulk.

Cell: 6.3539 6.3539 6.6112 Å, 111.62 111.62 103.49°
Positions (direct):
Th (0.1922, 0.8078, 0.0000)
Th (0.8078, 0.1922, 0.0000)
Th (0.0578, 0.9422, 0.5000)
Th (0.4422, 0.5578, 0.5000)
Se (0.5000, 0.5000, 0.0000)
Se (0.7500, 0.2500, 0.5000)
N (0.8646, 0.8646, 0.7292)
N (0.1354, 0.1354, 0.2708)
N (0.1146, 0.6146, 0.2292)
N (0.3854, 0.8854, 0.7708)


First-principles (PBE-GGA) data for a relaxed Th3Se2N2 crystal, as listed in Alexandria via LeMat-Bulk.

Cell: 4.0534 6.8863 6.9000 Å, 62.89 72.92 72.88°
Positions (direct):
Th (0.0000, 0.0000, 0.0000)
Th (0.7924, 0.6640, 0.7513)
Th (0.2076, 0.3360, 0.2487)
Se (0.5869, 0.1911, 0.6350)
Se (0.4131, 0.8089, 0.3650)
N (0.8042, 0.3292, 0.0623)
N (0.1958, 0.6708, 0.9377)


First-principles (PBE-GGA) data for a relaxed Th5Se5N crystal, as listed in Alexandria via LeMat-Bulk.

Cell: 5.8062 7.0296 8.2139 Å, 107.67 90.00 114.39°
Positions (direct):
Th (0.8419, 0.6839, 0.1427)
Th (0.8548, 0.7095, 0.7111)
Th (0.5000, 0.0000, 0.0000)
Th (0.1452, 0.2905, 0.2889)
Th (0.1581, 0.3161, 0.8573)
Se (0.6776, 0.3553, 0.3454)
Se (0.6514, 0.3029, 0.7993)
Se (0.0000, 0.0000, 0.5000)
Se (0.3486, 0.6971, 0.2007)
Se (0.3224, 0.6447, 0.6546)
N (0.0000, 0.0000, 0.0000)


First-principles (PBE-GGA) data for a relaxed ThSeN crystal, as listed in Alexandria via LeMat-Bulk.

Cell: 4.2127 4.2128 7.1977 Å, 90.03 90.00 90.00°
Positions (direct):
Se (0.2500, 0.7501, 0.5000)
Se (0.7500, 0.2499, 0.5000)
N (0.7500, 0.2500, 0.0000)
N (0.2500, 0.7500, 0.0000)
Th (0.7500, 0.7499, 0.8453)
Th (0.2500, 0.2501, 0.1547)

* offset from the most stable computed form: 0 meV/atom


First-principles (PBE-GGA) data for a relaxed Th2SeN2 crystal, as listed in Alexandria via LeMat-Bulk.

Cell: 4.0447 4.0447 7.1987 Å, 90.00 90.00 120.00°
Positions (direct):
Th (0.6667, 0.3333, 0.7035)
Th (0.3333, 0.6667, 0.2965)
Se (0.0000, 0.0000, 0.0000)
N (0.3333, 0.6667, 0.6262)
N (0.6667, 0.3333, 0.3738)


First-principles (PBE-GGA) data for a relaxed Th4Se3N2 crystal, as listed in Alexandria via LeMat-Bulk.

Cell: 3.9838 6.9592 8.2155 Å, 74.09 75.97 73.37°
Positions (direct):
Th (0.3092, 0.2737, 0.1080)
Th (0.6908, 0.7263, 0.8920)
Th (0.1100, 0.1738, 0.6063)
Th (0.8900, 0.8262, 0.3937)
Se (0.3923, 0.5008, 0.7147)
Se (0.0000, 0.0000, 0.0000)
Se (0.6077, 0.4992, 0.2853)
N (0.3058, 0.0217, 0.3667)
N (0.6942, 0.9783, 0.6333)


First-principles (PBE-GGA) data for a relaxed ThSeN crystal, as listed in Alexandria via LeMat-Bulk.

Cell: 3.5499 3.5499 5.6304 Å, 108.38 108.38 90.00°
Positions (direct):
Th (0.7126, 0.7126, 0.4253)
Se (0.0320, 0.0320, 0.0641)
N (0.2553, 0.2553, 0.5107)

* offset from the most stable computed form: 637 meV/atom


First-principles (PBE-GGA) data for a relaxed ThSeN crystal, as listed in Alexandria via LeMat-Bulk.

Cell: 4.0795 4.0794 7.1971 Å, 90.00 90.00 90.00°
Positions (direct):
Th (0.5000, 0.5000, 0.8298)
Th (0.0000, 0.0000, 0.1702)
Se (0.5000, 0.5000, 0.3755)
Se (0.0000, 0.0000, 0.6245)
N (0.5000, 0.0000, 0.0000)
N (0.0000, 0.5000, 0.0000)

* offset from the most stable computed form: 101 meV/atom


First-principles (PBE-GGA) data for a relaxed Th5Se5N2 crystal, as listed in Alexandria via LeMat-Bulk.

Cell: 3.9553 7.0177 11.1590 Å, 104.50 90.00 106.37°
Positions (direct):
Th (0.0970, 0.1940, 0.3635)
Th (0.6535, 0.3070, 0.7957)
Th (0.3465, 0.6930, 0.2043)
Th (0.9030, 0.8060, 0.6365)
Th (0.0000, 0.0000, 0.0000)
Se (0.5000, 0.0000, 0.5000)
Se (0.6688, 0.3377, 0.0714)
Se (0.7657, 0.5314, 0.3694)
Se (0.2343, 0.4686, 0.6306)
Se (0.3312, 0.6623, 0.9286)
N (0.0477, 0.0954, 0.8009)
N (0.9523, 0.9046, 0.1991)


First-principles (PBE-GGA) data for a relaxed Th3SeN3 crystal, as listed in Alexandria via LeMat-Bulk.

Cell: 6.9880 6.9880 8.1944 Å, 64.76 64.76 60.00°
Positions (direct):
Th (0.2334, 0.5696, 0.2955)
Th (0.9015, 0.2334, 0.2955)
Th (0.5696, 0.9015, 0.2955)
Th (0.4304, 0.0985, 0.7045)
Th (0.0985, 0.7666, 0.7045)
Th (0.7666, 0.4304, 0.7045)
Se (0.3333, 0.3333, 0.0002)
Se (0.6667, 0.6667, 0.9998)
N (0.4588, 0.7895, 0.6280)
N (0.7895, 0.1237, 0.6280)
N (0.1237, 0.4588, 0.6280)
N (0.8763, 0.5412, 0.3720)
N (0.2105, 0.8763, 0.3720)
N (0.5412, 0.2105, 0.3720)


Number 1: ΔE_f (raw) 0.430 eV per atom. Number 2: ΔE_f (raw) -0.568 eV per atom. Number 3: ΔE_f (raw) -1.815 eV per atom. Number 4: ΔE_f (raw) -1.738 eV per atom. Number 5: ΔE_f (raw) -1.551 eV per atom. Number 6: ΔE_f (raw) -1.558 eV per atom. Number 7: ΔE_f (raw) -1.938 eV per atom. Number 8: ΔE_f (raw) -1.702 eV per atom. Number 9: ΔE_f (raw) -0.921 eV per atom. Number 10: ΔE_f (raw) -1.457 eV per atom. Number 11: ΔE_f (raw) -1.658 eV per atom. Number 12: ΔE_f (raw) -1.765 eV per atom.